1.
## La2PmNd4Sc (GGA-PBE)

Data for La2PmNd4Sc after structural relaxation.

## Properties
symmetry: Pmmm, No. 47
D(E_F): 13.5 states/eV/f.u.

```
8
Lattice="-4.023 -1.749 -2.679 -2.851 0.040 4.256 -5.740 9.787 2.233" Properties=species:S:1:pos:R:3 pbc="T T T"
Sc -4.295 4.913 3.244
Nd -6.186 0.767 -1.073
Nd -5.600 1.657 2.397
Nd -6.428 7.311 4.882
Nd -7.014 6.421 1.412
Pm -3.437 -0.855 0.788
La -4.882 4.019 -0.223
La -5.740 9.787 2.233
```

2.
## LaPm4Nd2Sc (GGA-PBE)

Data for LaPm4Nd2Sc after structural relaxation.

## Properties
symmetry: P2/m, No. 10
D(E_F): 12.2 states/eV/f.u.

```
8
Lattice="5.105 0.000 0.000 0.000 11.373 -1.769 0.000 2.933 4.174" Properties=species:S:1:pos:R:3 pbc="T T T"
Pm 0.000 10.688 1.834
Pm 2.553 5.082 2.663
Pm 5.105 3.619 0.572
Pm 2.553 9.225 -0.257
Nd 2.553 1.467 2.087
Nd 0.000 2.933 4.174
Sc 0.000 7.153 1.203
La 2.553 5.687 -0.884
```

3.
## La6PmNd2Sc (GGA-PBE)

Data for La6PmNd2Sc after structural relaxation.

## Properties
symmetry: C2/m, No. 12
D(E_F): 14.9 states/eV/f.u.

```
10
Lattice="8.963 0.000 3.043 0.000 7.416 0.000 -0.859 -3.708 5.012" Properties=species:S:1:pos:R:3 pbc="T T T"
Nd 0.209 0.000 1.720
Nd 7.895 3.708 6.335
Sc 0.000 3.708 0.000
La 1.756 1.665 4.502
La 6.348 2.043 3.554
La 6.348 5.373 3.554
La 3.137 3.708 2.488
La 4.967 0.000 5.567
La 1.756 -1.665 4.502
Pm 4.481 0.000 1.522
```

Number 1: formation energy from the elements 0.80 kcal/mol of atoms, total moment 0.000 μB per formula unit. Number 2: formation energy from the elements 0.76 kcal/mol of atoms, total moment 0.000 μB per formula unit. Number 3: formation energy from the elements 4.42 kcal/mol of atoms, total moment 0.000 μB per formula unit.